## ZrPdIO2 (PBE)

Data for crystalline ZrPdIO2 at its relaxed geometry.

Summary:
Formation energy from raw total energies = -1.4008 eV per atom
E above lowest polymorph = 0.000 eV/atom
Magnetic moment = 0.00 μB per formula unit
Calculated volume = 21.12 A^3/atom
DOS at the Fermi energy = 0.67 states/eV per atom

Cell and atoms, written as POSCAR:
```
ZrPdIO2
1.0
-3.773 -1.292 -0.663
1.287 -5.429 3.259
-1.209 1.771 3.427
Pd O Zr I
1 2 1 1
Cartesian
-1.847 -2.475 3.012
-0.604 0.886 1.714
-1.886 -0.646 -0.331
0.000 0.000 0.000
0.643 -2.714 1.630
```



## Ga2SiGe (PBE)

Data for crystalline Ga2SiGe at its relaxed geometry.

Summary:
Formation energy from raw total energies = 0.2838 eV per atom
E above lowest polymorph = 0.065 eV/atom
Magnetic moment = 0.00 μB per formula unit
Calculated volume = 18.13 A^3/atom
DOS at the Fermi energy = 0.50 states/eV per atom

Cell and atoms, written as POSCAR:
```
Ga2SiGe
1.0
0.000 3.310 3.310
3.310 0.000 3.310
3.310 3.310 0.000
Si Ga Ge
1 2 1
Cartesian
0.000 0.000 0.000
1.655 1.655 1.655
4.965 4.965 4.965
3.310 3.310 3.310
```